# 1
A relaxed EuYRh2 crystal. Source: Alexandria via LeMat-Bulk, functional GGA-PBE.

The value obtained for the total energy is -8.464 eV per atom.

It has space group P4/mmm (No. 123), with a = 3.448 Å, b = 3.448 Å, c = 7.076 Å, α = 90.00°, β = 90.00° and γ = 90.00°. Symmetry generates all atoms from Eu at (0.000, 0.000, 0.000), Y at (0.000, 0.000, 0.500) and Rh at (0.500, 0.500, 0.269).


# 2
A relaxed Mg2ZnNi2 crystal. Source: Alexandria via LeMat-Bulk, functional GGA-PBE.

The value obtained for the total energy is -3.102 eV per atom.

It has space group I4/mmm (No. 139), with a = 3.303 Å, b = 3.303 Å, c = 15.240 Å, α = 90.00°, β = 90.00° and γ = 90.00°. Symmetry generates all atoms from Mg at (0.000, 0.000, 0.114), Zn at (0.000, 0.000, 0.500) and Ni at (0.000, 0.500, 0.250).


# 3
A relaxed NdSmHgBi crystal. Source: Alexandria via LeMat-Bulk, functional GGA-PBE.

The value obtained for the total energy is -3.984 eV per atom.

It has space group F-43m (No. 216), with a = 7.758 Å, b = 7.758 Å, c = 7.758 Å, α = 90.00°, β = 90.00° and γ = 90.00°. Symmetry generates all atoms from Nd at (0.000, 0.000, 0.000), Sm at (0.000, 0.000, 0.500), Hg at (0.250, 0.250, 0.750) and Bi at (0.250, 0.250, 0.250).


# 4
A relaxed Ce4YO9 crystal. Source: Alexandria via LeMat-Bulk, functional GGA-PBE.

Its energy relative to the elements, uncorrected is -4677 kJ/mol of formula units. The value obtained for the total energy is -8.807 eV per atom.

It has space group Imm2 (No. 44), with a = 3.814 Å, b = 19.553 Å, c = 5.521 Å, α = 90.00°, β = 90.00° and γ = 90.00°. Symmetry generates all atoms from Ce at (0.000, 0.105, 0.000), Ce at (0.000, 0.301, 0.009), Y at (0.000, 0.500, 0.059), O at (0.000, 0.000, 0.769), O at (0.000, 0.196, 0.256), O at (0.000, 0.202, 0.758), O at (0.000, 0.396, 0.261) and O at (0.000, 0.418, 0.756).


# 5
A relaxed Ho2TmNi crystal. Source: Alexandria via LeMat-Bulk, functional GGA-PBE.

The value obtained for the total energy is -5.081 eV per atom.

It has space group Cmcm (No. 63), with a = 3.603 Å, b = 11.836 Å, c = 9.473 Å, α = 90.00°, β = 90.00° and γ = 90.00°. Symmetry generates all atoms from Ho at (0.000, 0.136, 0.070), Tm at (0.000, 0.419, 0.250) and Ni at (0.000, 0.262, 0.750).


# 6
A relaxed Cs2SmPuO4 crystal. Source: Alexandria via LeMat-Bulk, functional GGA-PBE.

Its energy relative to the elements, uncorrected is -1857 kJ/mol of formula units. The value obtained for the total energy is -7.479 eV per atom.

It has space group P2/m (No. 10), with a = 6.318 Å, b = 3.644 Å, c = 7.240 Å, α = 90.00°, β = 106.86° and γ = 90.00°. Symmetry generates all atoms from Cs at (0.000, 0.000, 0.000), Cs at (0.500, 0.500, 0.000), Sm at (0.000, 0.500, 0.500), Pu at (0.500, 0.000, 0.500), O at (0.225, 0.000, 0.665) and O at (0.285, 0.500, 0.338).


# 7
A relaxed AlSbRu2 crystal. Source: Alexandria via LeMat-Bulk, functional GGA-PBE.

Its energy relative to the elements, uncorrected is -41 kJ/mol of formula units. The value obtained for the total energy is -6.712 eV per atom.

It has space group C2/m (No. 12), with a = 8.336 Å, b = 3.034 Å, c = 5.149 Å, α = 90.00°, β = 101.71° and γ = 90.00°. Symmetry generates all atoms from Al at (0.000, 0.000, 0.000), Sb at (0.000, 0.500, 0.500) and Ru at (0.246, 0.500, 0.239).


# 8
A relaxed TaAlWS2 crystal. Source: Alexandria via LeMat-Bulk, functional GGA-PBE.

Its energy relative to the elements, uncorrected is 416 kJ/mol of formula units. The value obtained for the total energy is -6.499 eV per atom.

It has space group P4/mmm (No. 123), with a = 4.623 Å, b = 4.623 Å, c = 5.251 Å, α = 90.00°, β = 90.00° and γ = 90.00°. Symmetry generates all atoms from Ta at (0.000, 0.000, 0.000), Al at (0.500, 0.500, 0.500), W at (0.000, 0.000, 0.500) and S at (0.000, 0.500, 0.000).


# 9
A relaxed SiPt2 crystal. Source: Alexandria via LeMat-Bulk, functional GGA-PBE.

Its energy relative to the elements, uncorrected is -156 kJ/mol of formula units. The value obtained for the total energy is -6.373 eV per atom.

It has space group C2/m (No. 12), with a = 10.262 Å, b = 3.732 Å, c = 5.527 Å, α = 90.00°, β = 119.34° and γ = 90.00°. Symmetry generates all atoms from Si at (0.185, 0.000, 0.137), Pt at (0.067, 0.500, 0.829) and Pt at (0.155, 0.000, 0.534).


# 10
A relaxed PmPr3Rh2 crystal. Source: Alexandria via LeMat-Bulk, functional GGA-PBE.

The value obtained for the total energy is -6.107 eV per atom.

It has space group C2/m (No. 12), with a = 16.864 Å, b = 4.300 Å, c = 11.643 Å, α = 90.00°, β = 119.86° and γ = 90.00°. Symmetry generates all atoms from Pm at (0.069, 0.000, 0.177), Pr at (0.057, 0.500, 0.703), Pr at (0.177, 0.000, 0.547), Pr at (0.200, 0.500, 0.080), Rh at (0.119, 0.000, 0.895) and Rh at (0.130, 0.500, 0.359).


# 11
A relaxed Na2MnP2S6 crystal. Source: Alexandria via LeMat-Bulk, functional GGA-PBE.

Its energy relative to the elements, uncorrected is -603 kJ/mol of formula units. The value obtained for the total energy is -4.876 eV per atom.

It has space group P-3 (No. 147), with a = 6.3088 Å, b = 6.3088 Å, c = 6.5276 Å, α = 90.00°, β = 90.00° and γ = 120.00°. Symmetry generates all atoms from Na at (0.3333, 0.6667, 0.3912), Mn at (0.0000, 0.0000, 0.0000), P at (0.3333, 0.6667, 0.9350) and S at (0.0941, 0.7619, 0.7782).


# 12
A relaxed Ca2TcRu crystal. Source: Alexandria via LeMat-Bulk, functional GGA-PBE.

The value obtained for the total energy is -5.342 eV per atom.

It has space group I-4m2 (No. 119), with a = 4.798 Å, b = 4.798 Å, c = 6.778 Å, α = 90.00°, β = 90.00° and γ = 90.00°. Symmetry generates all atoms from Ca at (0.000, 0.000, 0.000), Ca at (0.000, 0.500, 0.250), Tc at (0.000, 0.500, 0.750) and Ru at (0.000, 0.000, 0.500).


# 13
A relaxed LiMg2Au crystal. Source: Alexandria via LeMat-Bulk, functional GGA-PBE.

The value obtained for the total energy is -2.499 eV per atom.

It has space group Imm2 (No. 44), with a = 3.973 Å, b = 4.141 Å, c = 8.742 Å, α = 90.00°, β = 90.00° and γ = 90.00°. Symmetry generates all atoms from Li at (0.000, 0.000, 0.000), Mg at (0.000, 0.000, 0.507), Mg at (0.000, 0.500, 0.753) and Au at (0.000, 0.500, 0.256).